Below is a relaxed SbAsSI2 crystal, with properties calculated at the PBE-GGA level.

Results
energy relative to the lowest polymorph listed for this composition	0	meV per atom
N(E_F)	6.43	states/eV per cell
ΔE_f (raw)	0.743	eV/atom
V	169.9	Å³ per cell

a b c (Å): 5.4658 5.4658 5.6876
angles (deg): 90.00 90.00 90.00
With the nearest neighbours (Å) after each atom.
Space group P4/mmm (No. 123)
One atom of each set of equivalent atoms:
Sb  0.0000  0.0000  0.0000 [1 per cell]  2 As 2.84
As  0.0000  0.0000  0.5000 [1 per cell]  4 I 2.73, 2 Sb 2.84
S  0.5000  0.5000  0.0000 [1 per cell]  4 Sb 3.86, 8 I 3.94
I  0.0000  0.5000  0.5000 [2 per cell]  2 As 2.73